Computed, not measured: a relaxed SiHgMo2 crystal at the PBE-GGA level of DFT.

Properties
Total magnetization   0.00 μB/f.u.
Formation energy without anion corrections   1.4 eV per formula unit
Space group   No. 35
ΔE to the lowest computed polymorph   178 meV/atom

a b c (Å): 2.8021 2.8021 9.3073
angles (deg): 90.00 90.00 106.60
Fractional coordinates of all 4 atoms:
Si 0.0000 0.0000 0.0000
Hg 0.5000 0.5000 0.2995
Mo 0.0000 0.0000 0.5646
Mo 0.5000 0.5000 0.7916

***

Computed, not measured: a relaxed Ta2AlCrH crystal at the PBE-GGA level of DFT.

Properties
Total magnetization   0.51 μB/f.u.
E_tot   -8.15 eV per atom
Space group   No. 123

a b c (Å): 4.1802 4.1802 3.7503
angles (deg): 90.00 90.00 90.00
Fractional coordinates of all 5 atoms:
Ta 0.0000 0.5000 0.0000
Ta 0.5000 0.0000 0.0000
Al 0.0000 0.0000 0.5000
Cr 0.5000 0.5000 0.5000
H 0.5000 0.5000 0.0000

***

Computed, not measured: a relaxed CaSm2Th crystal at the PBE-GGA level of DFT.

Properties
Total magnetization   0.00 μB/f.u.
Space group   No. 160
ΔE to the lowest computed polymorph   0 meV/atom
Formation enthalpy at 0 K   0.038 eV per atom

a b c (Å): 12.2731 12.2731 12.2731
angles (deg): 17.11 17.11 17.11
Fractional coordinates of all 4 atoms:
Ca 0.0000 0.0000 0.0000
Sm 0.2451 0.2451 0.2451
Sm 0.4232 0.4232 0.4232
Th 0.8343 0.8343 0.8343